Li2CaSnHg4: optimized geometry, GGA-PBE.

Results
DOS(E_F): 0.351 states/eV per atom
V: 200.9 Å³ per cell
Density: 8.06 g/cm3
DFT formation energy: -4.369 kcal/mol of atoms

Structure (CIF):
```
data_Li2CaSnHg4
_space_group_name_H-M_alt 'P 4/m m m'
_space_group_IT_number 123
_space_group_name_Hall '-P 4 2'
_cell_length_a 4.5364
_cell_length_b 4.5364
_cell_length_c 9.7609
_cell_angle_alpha 90.00
_cell_angle_beta 90.00
_cell_angle_gamma 90.00
loop_
_atom_site_label
_atom_site_type_symbol
_atom_site_fract_x
_atom_site_fract_y
_atom_site_fract_z
Li1 Li 0.0000 0.0000 0.1242
Ca1 Ca 0.5000 0.5000 0.5000
Sn1 Sn 0.5000 0.5000 0.0000
Hg1 Hg 0.0000 0.5000 0.2712
```



YSnPd5: optimized geometry, GGA-PBE.

Results
DOS(E_F): 0.215 states/eV per atom
V: 129.5 Å³ per cell
Density: 9.48 g/cm3
DFT formation energy: -15.947 kcal/mol of atoms

Structure (CIF):
```
data_YSnPd5
_space_group_name_H-M_alt 'P 4/m m m'
_space_group_IT_number 123
_space_group_name_Hall '-P 4 2'
_cell_length_a 4.1301
_cell_length_b 4.1301
_cell_length_c 7.5922
_cell_angle_alpha 90.00
_cell_angle_beta 90.00
_cell_angle_gamma 90.00
loop_
_atom_site_label
_atom_site_type_symbol
_atom_site_fract_x
_atom_site_fract_y
_atom_site_fract_z
Y1 Y 0.0000 0.0000 0.0000
Sn1 Sn 0.5000 0.5000 0.5000
Pd1 Pd 0.0000 0.5000 0.2742
Pd2 Pd 0.5000 0.5000 0.0000
```



Ba2ThHgSe5: optimized geometry, GGA-PBE.

Results
V: 1140.2 Å³ per cell
Density: 6.42 g/cm3
E_form (uncorrected): -1.57 eV/atom

Structure (CIF):
```
data_Ba2ThHgSe5
_space_group_name_H-M_alt 'C m c 21'
_space_group_IT_number 36
_cell_length_a 4.4041
_cell_length_b 19.1740
_cell_length_c 13.5024
_cell_angle_alpha 90.00
_cell_angle_beta 90.00
_cell_angle_gamma 90.00
loop_
_space_group_symop_operation_xyz
'x,y,z'
'-x,-y,z+1/2'
'-x,y,z'
'x,-y,z+1/2'
'x+1/2,y+1/2,z'
'-x+1/2,-y+1/2,z+1/2'
'-x+1/2,y+1/2,z'
'x+1/2,-y+1/2,z+1/2'
loop_
_atom_site_label
_atom_site_type_symbol
_atom_site_fract_x
_atom_site_fract_y
_atom_site_fract_z
Ba1 Ba 0.0000 0.1121 0.0000
Ba2 Ba 0.0000 0.1254 0.6302
Th1 Th 0.0000 0.2059 0.3273
Hg1 Hg 0.0000 0.4581 0.7627
Se1 Se 0.0000 0.0545 0.3760
Se2 Se 0.0000 0.2894 0.9712
Se3 Se 0.0000 0.3047 0.6815
Se4 Se 0.0000 0.3547 0.3188
Se5 Se 0.0000 0.4968 0.0822
```



> Look up the density of the first one.

8.06 g/cm3



> density of number 2 (YSnPd5)?

9.48 g/cm3



> Which value of V does entry 3 give?

1140.2 Å³ per cell



> Look up the V of the first one.

200.9 Å³ per cell